# 1
Compound: ErTm2Cd
Source: the Alexandria database
Functional: GGA-PBE
Structure: optimized geometry

Computed properties:
Distance to the lowest polymorph of the same formula = 0.058 eV/atom
Energy relative to the elements = -0.09 eV/atom
Total magnetization = 0.00 μB per formula unit
V = 27.51 Å³ per atom

```
data_ErTm2Cd
_chemical_formula_sum 'Er1 Tm2 Cd1'
_symmetry_space_group_name_H-M 'P 4/m m m'
_symmetry_Int_Tables_number 123
_symmetry_space_group_name_Hall '-P 4 2'
_cell_length_a 4.793
_cell_length_b 4.793
_cell_length_c 4.790
_cell_angle_alpha 90.00
_cell_angle_beta 90.00
_cell_angle_gamma 90.00
loop_
_atom_site_label
_atom_site_fract_x
_atom_site_fract_y
_atom_site_fract_z
_atom_site_occupancy
Er1 0.000 0.000 0.000 1
Tm1 0.000 0.500 0.500 1
Cd1 0.500 0.500 0.000 1
```

***

# 2
Compound: Er2Tm3Cd4
Source: the Alexandria database
Functional: GGA-PBE
Structure: optimized geometry

Computed properties:
Energy relative to the elements = -0.13 eV/atom
Total magnetization = 0.00 μB per formula unit
V = 27.19 Å³ per atom

```
data_Er2Tm3Cd4
_chemical_formula_sum 'Er8 Tm12 Cd16'
_symmetry_space_group_name_H-M 'C m c e'
_symmetry_Int_Tables_number 64
_symmetry_space_group_name_Hall '-C 2ac 2'
_cell_length_a 6.650
_cell_length_b 18.485
_cell_length_c 7.963
_cell_angle_alpha 90.00
_cell_angle_beta 90.00
_cell_angle_gamma 90.00
loop_
_atom_site_label
_atom_site_fract_x
_atom_site_fract_y
_atom_site_fract_z
_atom_site_occupancy
Er1 0.000 0.092 0.102 1
Tm1 0.000 0.000 0.500 1
Tm2 0.250 0.245 0.750 1
Cd1 0.000 0.160 0.480 1
Cd2 0.250 0.076 0.750 1
```

***

# 3
Compound: ErTm2Cd8
Source: the Alexandria database
Functional: GGA-PBE
Structure: optimized geometry

Computed properties:
Energy relative to the elements = -0.20 eV/atom
Total magnetization = 0.00 μB per formula unit
V = 23.88 Å³ per atom

```
data_ErTm2Cd8
_chemical_formula_sum 'Er2 Tm4 Cd16'
_symmetry_space_group_name_H-M 'C 1 2/m 1'
_symmetry_Int_Tables_number 12
_cell_length_a 8.026
_cell_length_b 15.762
_cell_length_c 5.333
_cell_angle_alpha 90.00
_cell_angle_beta 128.84
_cell_angle_gamma 90.00
loop_
_symmetry_equiv_pos_as_xyz
'x,y,z'
'-x,-y,-z'
'-x,y,-z'
'x,-y,z'
'x+1/2,y+1/2,z'
'-x+1/2,-y+1/2,-z'
'-x+1/2,y+1/2,-z'
'x+1/2,-y+1/2,z'
loop_
_atom_site_label
_atom_site_fract_x
_atom_site_fract_y
_atom_site_fract_z
_atom_site_occupancy
Er1 0.000 0.000 0.000 1
Tm1 0.000 0.313 0.500 1
Cd1 0.000 0.201 0.000 1
Cd2 0.023 0.500 0.275 1
Cd3 0.232 0.131 0.751 1
```

***

# 4
Compound: ErTmCd4
Source: the Alexandria database
Functional: GGA-PBE
Structure: optimized geometry

Computed properties:
Distance to the lowest polymorph of the same formula = 0.074 eV/atom
Energy relative to the elements = -0.22 eV/atom
Total magnetization = 0.31 μB per formula unit
V = 24.00 Å³ per atom

```
data_ErTmCd4
_chemical_formula_sum 'Er2 Tm2 Cd8'
_symmetry_space_group_name_H-M 'C 1 2/m 1'
_symmetry_Int_Tables_number 12
_cell_length_a 12.784
_cell_length_b 3.428
_cell_length_c 6.814
_cell_angle_alpha 90.00
_cell_angle_beta 105.38
_cell_angle_gamma 90.00
loop_
_symmetry_equiv_pos_as_xyz
'x,y,z'
'-x,-y,-z'
'-x,y,-z'
'x,-y,z'
'x+1/2,y+1/2,z'
'-x+1/2,-y+1/2,-z'
'-x+1/2,y+1/2,-z'
'x+1/2,-y+1/2,z'
loop_
_atom_site_label
_atom_site_fract_x
_atom_site_fract_y
_atom_site_fract_z
_atom_site_occupancy
Er1 0.000 0.000 0.000 1
Tm1 0.000 0.000 0.500 1
Cd1 0.172 0.500 0.337 1
Cd2 0.173 0.500 0.835 1
```

***

# 5
Compound: ErTm3Cd4
Source: the Alexandria database
Functional: GGA-PBE
Structure: optimized geometry

Computed properties:
Energy relative to the elements = -0.31 eV/atom
Total magnetization = 0.00 μB per formula unit
V = 25.31 Å³ per atom

```
data_ErTm3Cd4
_chemical_formula_sum 'Er1 Tm3 Cd4'
_symmetry_space_group_name_H-M 'P 4/m m m'
_symmetry_Int_Tables_number 123
_symmetry_space_group_name_Hall '-P 4 2'
_cell_length_a 5.209
_cell_length_b 5.209
_cell_length_c 7.462
_cell_angle_alpha 90.00
_cell_angle_beta 90.00
_cell_angle_gamma 90.00
loop_
_atom_site_label
_atom_site_fract_x
_atom_site_fract_y
_atom_site_fract_z
_atom_site_occupancy
Er1 0.000 0.000 0.000 1
Tm1 0.000 0.000 0.500 1
Tm2 0.500 0.500 0.000 1
Tm3 0.500 0.500 0.500 1
Cd1 0.000 0.500 0.251 1
```

***

# 6
Compound: ErTm3Cd
Source: the Alexandria database
Functional: GGA-PBE
Structure: optimized geometry

Computed properties:
Distance to the lowest polymorph of the same formula = 0.178 eV/atom
Energy relative to the elements = 0.07 eV/atom
Total magnetization = 0.13 μB per formula unit
V = 30.61 Å³ per atom

```
data_ErTm3Cd
_chemical_formula_sum 'Er2 Tm6 Cd2'
_symmetry_space_group_name_H-M 'P 1 21/m 1'
_symmetry_Int_Tables_number 11
_cell_length_a 3.656
_cell_length_b 9.469
_cell_length_c 9.028
_cell_angle_alpha 90.00
_cell_angle_beta 101.64
_cell_angle_gamma 90.00
loop_
_symmetry_equiv_pos_as_xyz
'x,y,z'
'-x,-y,-z'
'-x,y+1/2,-z'
'x,-y+1/2,z'
loop_
_atom_site_label
_atom_site_fract_x
_atom_site_fract_y
_atom_site_fract_z
_atom_site_occupancy
Er1 0.013 0.250 0.024 1
Tm1 0.200 0.250 0.400 1
Tm2 0.397 0.006 0.795 1
Cd1 0.166 0.750 0.331 1
```

***

# 7
Compound: Er3TmCd2
Source: the Alexandria database
Functional: GGA-PBE
Structure: optimized geometry

Computed properties:
Distance to the lowest polymorph of the same formula = 0.021 eV/atom
Energy relative to the elements = -0.19 eV/atom
Total magnetization = 0.00 μB per formula unit
V = 27.39 Å³ per atom

```
data_Er3TmCd2
_chemical_formula_sum 'Er3 Tm1 Cd2'
_symmetry_space_group_name_H-M 'P 4/m m m'
_symmetry_Int_Tables_number 123
_symmetry_space_group_name_Hall '-P 4 2'
_cell_length_a 3.549
_cell_length_b 3.549
_cell_length_c 13.051
_cell_angle_alpha 90.00
_cell_angle_beta 90.00
_cell_angle_gamma 90.00
loop_
_atom_site_label
_atom_site_fract_x
_atom_site_fract_y
_atom_site_fract_z
_atom_site_occupancy
Er1 0.000 0.000 0.000 1
Er2 0.000 0.000 0.313 1
Tm1 0.500 0.500 0.500 1
Cd1 0.500 0.500 0.154 1
```

***

# 8
Compound: ErTm5Cd4
Source: the Alexandria database
Functional: GGA-PBE
Structure: optimized geometry

Computed properties:
Energy relative to the elements = -0.23 eV/atom
Total magnetization = 0.00 μB per formula unit
V = 26.49 Å³ per atom

```
data_ErTm5Cd4
_chemical_formula_sum 'Er1 Tm5 Cd4'
_symmetry_space_group_name_H-M 'P 4/m m m'
_symmetry_Int_Tables_number 123
_symmetry_space_group_name_Hall '-P 4 2'
_cell_length_a 3.608
_cell_length_b 3.608
_cell_length_c 20.353
_cell_angle_alpha 90.00
_cell_angle_beta 90.00
_cell_angle_gamma 90.00
loop_
_atom_site_label
_atom_site_fract_x
_atom_site_fract_y
_atom_site_fract_z
_atom_site_occupancy
Er1 0.000 0.000 0.000 1
Tm1 0.500 0.500 0.118 1
Tm2 0.500 0.500 0.312 1
Tm3 0.500 0.500 0.500 1
Cd1 0.000 0.000 0.216 1
Cd2 0.000 0.000 0.406 1
```